[1]
Below is a relaxed Zr2TlCoAu crystal, with properties calculated at the PBE level.

Computed properties:
Crystal system   tetragonal
ΔE_f   8.17 eV/f.u.

The structure in CIF format:
```
data_Zr2TlCoAu
_chemical_formula_sum 'Zr2 Tl1 Co1 Au1'
_cell_length_a 5.344
_cell_length_b 5.344
_cell_length_c 4.993
_cell_angle_alpha 90.00
_cell_angle_beta 90.00
_cell_angle_gamma 90.00
_symmetry_space_group_name_H-M 'P 4/m m m'
_symmetry_Int_Tables_number 123
_symmetry_space_group_name_Hall '-P 4 2'
loop_
_atom_site_label
_atom_site_type_symbol
_atom_site_fract_x
_atom_site_fract_y
_atom_site_fract_z
Zr1 Zr 0.000 0.500 0.000
Tl1 Tl 0.000 0.000 0.000
Co1 Co 0.500 0.500 0.500
Au1 Au 0.000 0.000 0.500
```

[2]
Below is a relaxed CsSr2Se crystal, with properties calculated at the PBE level.

Computed properties:
Raw total energy   -41.11 eV per cell
Crystal system   tetragonal

The structure in CIF format:
```
data_CsSr2Se
_chemical_formula_sum 'Cs4 Sr8 Se4'
_cell_length_a 9.471
_cell_length_b 9.471
_cell_length_c 13.292
_cell_angle_alpha 90.00
_cell_angle_beta 90.00
_cell_angle_gamma 90.00
_symmetry_space_group_name_H-M 'I -4 2 d'
_symmetry_Int_Tables_number 122
_symmetry_space_group_name_Hall 'I -4 2bw'
loop_
_atom_site_label
_atom_site_type_symbol
_atom_site_fract_x
_atom_site_fract_y
_atom_site_fract_z
Cs1 Cs 0.000 0.000 0.000
Sr1 Sr 0.050 0.250 0.625
Se1 Se 0.000 0.000 0.500
```

[3]
Below is a relaxed PAuSO2 crystal, with properties calculated at the PBE level.

Computed properties:
Raw total energy   -21.70 eV per cell
Crystal system   tetragonal

The structure in CIF format:
```
data_PAuSO2
_chemical_formula_sum 'P1 Au1 S1 O2'
_cell_length_a 3.557
_cell_length_b 3.557
_cell_length_c 5.058
_cell_angle_alpha 90.00
_cell_angle_beta 90.00
_cell_angle_gamma 90.00
_symmetry_space_group_name_H-M 'P 4/m m m'
_symmetry_Int_Tables_number 123
_symmetry_space_group_name_Hall '-P 4 2'
loop_
_atom_site_label
_atom_site_type_symbol
_atom_site_fract_x
_atom_site_fract_y
_atom_site_fract_z
P1 P 0.000 0.000 0.000
Au1 Au 0.500 0.500 0.000
S1 S 0.000 0.000 0.500
O1 O 0.000 0.500 0.500
```

[4]
Below is a relaxed ThSc2CoPt crystal, with properties calculated at the PBE level.

Computed properties:
Crystal system   tetragonal
ΔE_f   -1.70 eV/f.u.

The structure in CIF format:
```
data_ThSc2CoPt
_chemical_formula_sum 'Th1 Sc2 Co1 Pt1'
_cell_length_a 4.698
_cell_length_b 4.698
_cell_length_c 5.411
_cell_angle_alpha 90.00
_cell_angle_beta 90.00
_cell_angle_gamma 90.00
_symmetry_space_group_name_H-M 'P 4 m m'
_symmetry_Int_Tables_number 99
loop_
_symmetry_equiv_pos_as_xyz
'x,y,z'
'-y,x,z'
'-x,-y,z'
'y,-x,z'
'-x,y,z'
'y,x,z'
'x,-y,z'
'-y,-x,z'
loop_
_atom_site_label
_atom_site_type_symbol
_atom_site_fract_x
_atom_site_fract_y
_atom_site_fract_z
Th1 Th 0.000 0.000 0.000
Sc1 Sc 0.000 0.500 0.449
Co1 Co 0.000 0.000 0.533
Pt1 Pt 0.500 0.500 0.144
```